1.
# MnTlSn2 (PBE, optimized geometry)
# M_tot   0.0 μB per formula unit
# Density   9.37 g/cm³
# Crystal system   cubic
# Energy of formation   0.80 eV per atom
# DOS(E_F)   2.330 states/eV per atom
data_MnTlSn2
_chemical_formula_sum 'Mn4 Tl4 Sn8'
_symmetry_space_group_name_H-M 'F m -3 m'
_symmetry_Int_Tables_number 225
_symmetry_space_group_name_Hall '-F 4 2 3'
_cell_length_a 7.062
_cell_length_b 7.062
_cell_length_c 7.062
_cell_angle_alpha 90.00
_cell_angle_beta 90.00
_cell_angle_gamma 90.00
loop_
_atom_site_label
_atom_site_fract_x
_atom_site_fract_y
_atom_site_fract_z
Mn1 0.000 0.000 0.000
Tl1 0.000 0.000 0.500
Sn1 0.250 0.250 0.250

***

2.
# Fe4C (PBE, optimized geometry)
# M_tot   7.6 μB per formula unit
# Density   7.86 g/cm³
# Crystal system   monoclinic
# Energy of formation   0.13 eV per atom
# DOS(E_F)   0.866 states/eV per atom
data_Fe4C
_chemical_formula_sum 'Fe8 C2'
_symmetry_space_group_name_H-M 'P 1 21/m 1'
_symmetry_Int_Tables_number 11
_symmetry_space_group_name_Hall '-P 2yb'
_cell_length_a 6.024
_cell_length_b 2.660
_cell_length_c 6.324
_cell_angle_alpha 90.00
_cell_angle_beta 100.89
_cell_angle_gamma 90.00
loop_
_atom_site_label
_atom_site_fract_x
_atom_site_fract_y
_atom_site_fract_z
Fe1 0.022 0.250 0.182
Fe2 0.182 0.250 0.564
Fe3 0.326 0.250 0.965
Fe4 0.397 0.750 0.320
C1 0.375 0.750 0.746

***

3.
# NaPmCuSb (PBE, optimized geometry)
# M_tot   0.0 μB per formula unit
# Density   5.96 g/cm³
# Crystal system   cubic
# Formation energy (no corrections)   -33.35 kJ per mole of atoms
# DOS(E_F)   0.448 states/eV per atom
data_NaPmCuSb
_chemical_formula_sum 'Na4 Pm4 Cu4 Sb4'
_symmetry_space_group_name_H-M 'F -4 3 m'
_symmetry_Int_Tables_number 216
_symmetry_space_group_name_Hall 'F -4 2 3'
_cell_length_a 7.331
_cell_length_b 7.331
_cell_length_c 7.331
_cell_angle_alpha 90.00
_cell_angle_beta 90.00
_cell_angle_gamma 90.00
loop_
_atom_site_label
_atom_site_fract_x
_atom_site_fract_y
_atom_site_fract_z
Na1 0.000 0.000 0.000
Pm1 0.000 0.000 0.500
Cu1 0.250 0.250 0.250
Sb1 0.250 0.250 0.750